[1]
This record from Alexandria via LeMat-Bulk describes Dy2Co2B2C after structural relaxation. The functional is PBE-GGA.

Results
symmetry	C2/m, No. 12
DFT total energy	-7.005	eV per atom
DOS(E_F)	3.02	states/eV per cell

```
data_Dy2Co2B2C
_symmetry_space_group_name_H-M 'P 1'
_symmetry_Int_Tables_number 1
_cell_length_a 5.370
_cell_length_b 5.370
_cell_length_c 6.329
_cell_angle_alpha 123.58
_cell_angle_beta 123.58
_cell_angle_gamma 38.57
loop_
_symmetry_equiv_pos_as_xyz
'x,y,z'
loop_
_atom_site_label
_atom_site_fract_x
_atom_site_fract_y
_atom_site_fract_z
Dy1 0.062 0.062 0.318
Dy2 0.938 0.938 0.682
Co1 0.296 0.296 0.909
Co2 0.704 0.704 0.091
B1 0.310 0.310 0.245
B2 0.690 0.690 0.755
C1 0.500 0.500 0.000
```

***

[2]
This record from Alexandria via LeMat-Bulk describes DyCo2BC after structural relaxation. The functional is PBE-GGA.

Results
symmetry	Cmcm, No. 63
DFT total energy	-7.250	eV per atom
DOS(E_F)	6.26	states/eV per cell

```
data_DyCo2BC
_symmetry_space_group_name_H-M 'P 1'
_symmetry_Int_Tables_number 1
_cell_length_a 5.310
_cell_length_b 5.310
_cell_length_c 6.521
_cell_angle_alpha 90.00
_cell_angle_beta 90.00
_cell_angle_gamma 141.13
loop_
_symmetry_equiv_pos_as_xyz
'x,y,z'
loop_
_atom_site_label
_atom_site_fract_x
_atom_site_fract_y
_atom_site_fract_z
Dy1 0.053 0.947 0.750
Dy2 0.947 0.053 0.250
Co1 0.328 0.672 0.562
Co2 0.328 0.672 0.938
Co3 0.672 0.328 0.062
Co4 0.672 0.328 0.438
B1 0.229 0.771 0.250
B2 0.771 0.229 0.750
C1 0.500 0.500 0.000
C2 0.500 0.500 0.500
```

***

[3]
This record from Alexandria via LeMat-Bulk describes ErCo2BC after structural relaxation. The functional is PBE-GGA.

Results
symmetry	Cmcm, No. 63
DFT total energy	-7.274	eV per atom
DOS(E_F)	6.11	states/eV per cell

```
data_ErCo2BC
_symmetry_space_group_name_H-M 'P 1'
_symmetry_Int_Tables_number 1
_cell_length_a 5.298
_cell_length_b 5.298
_cell_length_c 6.490
_cell_angle_alpha 90.00
_cell_angle_beta 90.00
_cell_angle_gamma 141.47
loop_
_symmetry_equiv_pos_as_xyz
'x,y,z'
loop_
_atom_site_label
_atom_site_fract_x
_atom_site_fract_y
_atom_site_fract_z
Er1 0.052 0.948 0.750
Er2 0.948 0.052 0.250
Co1 0.328 0.672 0.562
Co2 0.328 0.672 0.938
Co3 0.672 0.328 0.062
Co4 0.672 0.328 0.438
B1 0.230 0.770 0.250
B2 0.770 0.230 0.750
C1 0.500 0.500 0.000
C2 0.500 0.500 0.500
```

***

[4]
This record from Alexandria via LeMat-Bulk describes FeCoB2C after structural relaxation. The functional is PBE-GGA.

Results
symmetry	P4/mmm, No. 123
DFT total energy	-6.323	eV per atom
DOS(E_F)	2.27	states/eV per cell

```
data_FeCoB2C
_symmetry_space_group_name_H-M 'P 1'
_symmetry_Int_Tables_number 1
_cell_length_a 3.765
_cell_length_b 3.765
_cell_length_c 3.540
_cell_angle_alpha 90.00
_cell_angle_beta 90.00
_cell_angle_gamma 90.00
loop_
_symmetry_equiv_pos_as_xyz
'x,y,z'
loop_
_atom_site_label
_atom_site_fract_x
_atom_site_fract_y
_atom_site_fract_z
Fe1 0.000 0.000 0.000
Co1 0.500 0.500 0.500
B1 0.000 0.500 0.000
B2 0.500 0.000 0.000
C1 0.000 0.000 0.500
```

***

[5]
This record from Alexandria via LeMat-Bulk describes Nd4Fe4Co12B3C after structural relaxation. The functional is PBE-GGA.

Results
symmetry	P-6m2, No. 187
DFT total energy	-7.183	eV per atom
DOS(E_F)	20.78	states/eV per cell

```
data_Nd4Fe4Co12B3C
_symmetry_space_group_name_H-M 'P 1'
_symmetry_Int_Tables_number 1
_cell_length_a 5.138
_cell_length_b 5.138
_cell_length_c 13.541
_cell_angle_alpha 90.00
_cell_angle_beta 90.00
_cell_angle_gamma 120.00
loop_
_symmetry_equiv_pos_as_xyz
'x,y,z'
loop_
_atom_site_label
_atom_site_fract_x
_atom_site_fract_y
_atom_site_fract_z
Nd1 0.000 0.000 0.000
Nd2 0.000 0.000 0.249
Nd3 0.000 0.000 0.500
Nd4 0.000 0.000 0.751
Fe1 0.333 0.667 0.250
Fe2 0.333 0.667 0.750
Fe3 0.667 0.333 0.247
Fe4 0.667 0.333 0.753
Co1 0.000 0.500 0.394
Co2 0.000 0.500 0.606
Co3 0.005 0.502 0.101
Co4 0.005 0.502 0.899
Co5 0.498 0.502 0.101
Co6 0.498 0.502 0.899
Co7 0.498 0.995 0.101
Co8 0.498 0.995 0.899
Co9 0.500 0.000 0.394
Co10 0.500 0.000 0.606
Co11 0.500 0.500 0.394
Co12 0.500 0.500 0.606
B1 0.333 0.667 0.500
B2 0.667 0.333 0.000
B3 0.667 0.333 0.500
C1 0.333 0.667 0.000
```

***

[6]
This record from Alexandria via LeMat-Bulk describes GdCo2B2C after structural relaxation. The functional is PBE-GGA.

Results
symmetry	I4/mmm, No. 139
DFT total energy	-8.906	eV per atom
DOS(E_F)	5.29	states/eV per cell

```
data_GdCo2B2C
_symmetry_space_group_name_H-M 'P 1'
_symmetry_Int_Tables_number 1
_cell_length_a 5.715
_cell_length_b 5.715
_cell_length_c 5.715
_cell_angle_alpha 143.58
_cell_angle_beta 143.58
_cell_angle_gamma 52.45
loop_
_symmetry_equiv_pos_as_xyz
'x,y,z'
loop_
_atom_site_label
_atom_site_fract_x
_atom_site_fract_y
_atom_site_fract_z
Gd1 0.000 0.000 0.000
Co1 0.250 0.750 0.500
Co2 0.750 0.250 0.500
B1 0.353 0.353 0.000
B2 0.647 0.647 0.000
C1 0.500 0.500 0.000
```

***

[7]
This record from Alexandria via LeMat-Bulk describes HoCo2BC after structural relaxation. The functional is PBE-GGA.

Results
symmetry	Cmcm, No. 63
DFT total energy	-7.262	eV per atom
DOS(E_F)	6.26	states/eV per cell

```
data_HoCo2BC
_symmetry_space_group_name_H-M 'P 1'
_symmetry_Int_Tables_number 1
_cell_length_a 5.304
_cell_length_b 5.304
_cell_length_c 6.505
_cell_angle_alpha 90.00
_cell_angle_beta 90.00
_cell_angle_gamma 141.30
loop_
_symmetry_equiv_pos_as_xyz
'x,y,z'
loop_
_atom_site_label
_atom_site_fract_x
_atom_site_fract_y
_atom_site_fract_z
Ho1 0.053 0.947 0.750
Ho2 0.947 0.053 0.250
Co1 0.328 0.672 0.562
Co2 0.328 0.672 0.938
Co3 0.672 0.328 0.062
Co4 0.672 0.328 0.438
B1 0.230 0.770 0.250
B2 0.770 0.230 0.750
C1 0.500 0.500 0.000
C2 0.500 0.500 0.500
```

***

[8]
This record from Alexandria via LeMat-Bulk describes LaCoBC2 after structural relaxation. The functional is PBE-GGA.

Results
symmetry	P4/mmm, No. 123
DFT total energy	-4.157	eV per atom
DOS(E_F)	5.04	states/eV per cell

```
data_LaCoBC2
_symmetry_space_group_name_H-M 'P 1'
_symmetry_Int_Tables_number 1
_cell_length_a 4.458
_cell_length_b 4.458
_cell_length_c 5.163
_cell_angle_alpha 90.00
_cell_angle_beta 90.00
_cell_angle_gamma 90.00
loop_
_symmetry_equiv_pos_as_xyz
'x,y,z'
loop_
_atom_site_label
_atom_site_fract_x
_atom_site_fract_y
_atom_site_fract_z
La1 0.000 0.000 0.000
Co1 0.000 0.000 0.500
B1 0.500 0.500 0.500
C1 0.000 0.500 0.000
C2 0.500 0.000 0.000
```

***

[9]
This record from Alexandria via LeMat-Bulk describes Co2B2MoC after structural relaxation. The functional is PBE-GGA.

Results
symmetry	P1, No. 1
DFT total energy	-7.845	eV per atom
DOS(E_F)	2.94	states/eV per cell

```
data_Co2B2MoC
_symmetry_space_group_name_H-M 'P 1'
_symmetry_Int_Tables_number 1
_cell_length_a 3.355
_cell_length_b 3.509
_cell_length_c 5.049
_cell_angle_alpha 84.13
_cell_angle_beta 70.62
_cell_angle_gamma 89.95
loop_
_symmetry_equiv_pos_as_xyz
'x,y,z'
loop_
_atom_site_label
_atom_site_fract_x
_atom_site_fract_y
_atom_site_fract_z
Co1 0.000 0.000 0.000
Co2 0.478 0.489 0.045
B1 0.089 0.525 0.822
B2 0.370 0.959 0.261
Mo1 0.765 0.436 0.471
C1 0.206 0.853 0.586
```

***

[10]
This record from Alexandria via LeMat-Bulk describes NdCo2BC after structural relaxation. The functional is PBE-GGA.

Results
symmetry	Cmcm, No. 63
DFT total energy	-7.105	eV per atom
DOS(E_F)	6.01	states/eV per cell

```
data_NdCo2BC
_symmetry_space_group_name_H-M 'P 1'
_symmetry_Int_Tables_number 1
_cell_length_a 5.369
_cell_length_b 5.369
_cell_length_c 6.628
_cell_angle_alpha 90.00
_cell_angle_beta 90.00
_cell_angle_gamma 139.68
loop_
_symmetry_equiv_pos_as_xyz
'x,y,z'
loop_
_atom_site_label
_atom_site_fract_x
_atom_site_fract_y
_atom_site_fract_z
Nd1 0.054 0.946 0.750
Nd2 0.946 0.054 0.250
Co1 0.328 0.672 0.561
Co2 0.328 0.672 0.939
Co3 0.672 0.328 0.061
Co4 0.672 0.328 0.439
B1 0.228 0.772 0.250
B2 0.772 0.228 0.750
C1 0.500 0.500 0.000
C2 0.500 0.500 0.500
```